No. 1
# SrFeTc2Ag, optimized geometry, DFT PBE
# total magnetization = 0.711 μB per atom
# final energy = -3.730 eV per atom
# volume = 120.9 Å³/f.u.
# N(E_F) = 11.078 states/eV/f.u.
data_SrFeTc2Ag
_cell_length_a 4.8488
_cell_length_b 4.8488
_cell_length_c 5.1418
_cell_angle_alpha 90.00
_cell_angle_beta 90.00
_cell_angle_gamma 90.00
_symmetry_space_group_name_H-M 'P 4/m m m'
_symmetry_Int_Tables_number 123
_symmetry_space_group_name_Hall '-P 4 2'
loop_
_atom_site_label
_atom_site_type_symbol
_atom_site_fract_x
_atom_site_fract_y
_atom_site_fract_z
Sr1 Sr 0.0000 0.0000 0.0000
Fe1 Fe 0.5000 0.5000 0.5000
Tc1 Tc 0.0000 0.5000 0.0000
Ag1 Ag 0.0000 0.0000 0.5000

=====

No. 2
# PmZn2SiN4, optimized geometry, DFT PBE
# total magnetization = 0.000 μB per atom
# E_form (uncorrected) = -4.74 eV per formula unit
# volume = 96.7 Å³/f.u.
# N(E_F) = 4.773 states/eV/f.u.
data_PmZn2SiN4
_cell_length_a 5.2662
_cell_length_b 5.2662
_cell_length_c 6.9762
_cell_angle_alpha 90.00
_cell_angle_beta 90.00
_cell_angle_gamma 90.00
_symmetry_space_group_name_H-M 'I -4 2 m'
_symmetry_Int_Tables_number 121
_symmetry_space_group_name_Hall 'I -4 2'
loop_
_atom_site_label
_atom_site_type_symbol
_atom_site_fract_x
_atom_site_fract_y
_atom_site_fract_z
Pm1 Pm 0.0000 0.0000 0.0000
Zn1 Zn 0.0000 0.5000 0.2500
Si1 Si 0.0000 0.0000 0.5000
N1 N 0.1963 0.1963 0.3616

=====

No. 3
# Sc3CdC, optimized geometry, DFT PBE
# total magnetization = 0.328 μB per atom
# final energy = -4.846 eV per atom
# volume = 130.8 Å³/f.u.
# N(E_F) = 4.528 states/eV/f.u.
data_Sc3CdC
_cell_length_a 4.7053
_cell_length_b 4.7053
_cell_length_c 23.6386
_cell_angle_alpha 90.00
_cell_angle_beta 90.00
_cell_angle_gamma 90.00
_symmetry_space_group_name_H-M 'I -4 m 2'
_symmetry_Int_Tables_number 119
_symmetry_space_group_name_Hall 'I -4 -2'
loop_
_atom_site_label
_atom_site_type_symbol
_atom_site_fract_x
_atom_site_fract_y
_atom_site_fract_z
Sc1 Sc 0.0000 0.0000 0.1797
Sc2 Sc 0.0000 0.2336 0.6239
Cd1 Cd 0.0000 0.0000 0.5000
Cd2 Cd 0.0000 0.5000 0.7500
C1 C 0.0000 0.5000 0.1415

=====

No. 4
# RbNa2MgHg, optimized geometry, DFT PBE
# total magnetization = 0.000 μB per atom
# final energy = -1.043 eV per atom
# volume = 209.4 Å³/f.u.
# N(E_F) = 2.837 states/eV/f.u.
data_RbNa2MgHg
_cell_length_a 6.1981
_cell_length_b 6.1981
_cell_length_c 5.4504
_cell_angle_alpha 90.00
_cell_angle_beta 90.00
_cell_angle_gamma 90.00
_symmetry_space_group_name_H-M 'P 4/m m m'
_symmetry_Int_Tables_number 123
_symmetry_space_group_name_Hall '-P 4 2'
loop_
_atom_site_label
_atom_site_type_symbol
_atom_site_fract_x
_atom_site_fract_y
_atom_site_fract_z
Rb1 Rb 0.0000 0.0000 0.0000
Na1 Na 0.0000 0.5000 0.5000
Mg1 Mg 0.5000 0.5000 0.5000
Hg1 Hg 0.5000 0.5000 0.0000

=====

No. 5
# Y5Tm4Sc, optimized geometry, DFT PBE
# total magnetization = 0.000 μB per atom
# final energy = -5.343 eV per atom
# volume = 314.5 Å³/f.u.
# N(E_F) = 15.098 states/eV/f.u.
data_Y5Tm4Sc
_cell_length_a 10.1026
_cell_length_b 10.1026
_cell_length_c 6.1634
_cell_angle_alpha 90.00
_cell_angle_beta 90.00
_cell_angle_gamma 90.00
_symmetry_space_group_name_H-M 'I 4'
_symmetry_Int_Tables_number 79
_symmetry_space_group_name_Hall 'I 4'
loop_
_atom_site_label
_atom_site_type_symbol
_atom_site_fract_x
_atom_site_fract_y
_atom_site_fract_z
Y1 Y 0.0000 0.0000 0.0000
Y2 Y 0.1464 0.2271 0.7077
Tm1 Tm 0.0429 0.3445 0.2153
Sc1 Sc 0.0000 0.0000 0.4534

=====

No. 6
# ZrMn2In, optimized geometry, DFT PBE
# total magnetization = 1.679 μB per atom
# final energy = -7.211 eV per atom
# volume = 73.2 Å³/f.u.
# N(E_F) = 4.412 states/eV/f.u.
data_ZrMn2In
_cell_length_a 6.6390
_cell_length_b 6.6390
_cell_length_c 6.6390
_cell_angle_alpha 90.00
_cell_angle_beta 90.00
_cell_angle_gamma 90.00
_symmetry_space_group_name_H-M 'F -4 3 m'
_symmetry_Int_Tables_number 216
_symmetry_space_group_name_Hall 'F -4 2 3'
loop_
_atom_site_label
_atom_site_type_symbol
_atom_site_fract_x
_atom_site_fract_y
_atom_site_fract_z
Zr1 Zr 0.0000 0.0000 0.0000
Mn1 Mn 0.0000 0.0000 0.5000
Mn2 Mn 0.2500 0.2500 0.7500
In1 In 0.2500 0.2500 0.2500